TaNbC2 | PBE | optimized geometry

Computed properties:
**Total DFT energy (no corrections)**: -10.28 eV per atom
**Symmetry**: Amm2 (38)
**Excess energy over the best structure of this formula in the dataset**: 344.3 meV per atom

Geometry as POSCAR:
```
TaNbC2
1.0
3.100 0.000 0.000
0.000 1.564 5.110
0.000 -1.564 5.110
C Nb Ta
2 1 1
direct
0.000 0.638 0.638
0.500 0.359 0.359
0.000 0.857 0.857
0.500 0.147 0.147
```